Entry 1:
An optimized crystal structure of Pu2PaIn9, computed with PBE.

abc: 4.659 4.659 13.922
angles: 90.00 90.00 90.00
Site moments in Bohr magnetons follow the coordinates.
Fractional positions:
Pa  0.000  0.000  0.000  0.65
In  0.000  0.500  0.500  0.01
In  0.500  0.000  0.500  0.01
In  0.500  0.000  0.833  0.01
In  0.000  0.500  0.167  0.01
In  0.500  0.500  0.667  0.01
Pu  0.000  0.000  0.667  5.35
Pu  0.000  0.000  0.333  5.35
In  0.500  0.500  0.000  0.01
In  0.000  0.500  0.833  0.01
In  0.500  0.000  0.167  0.01
In  0.500  0.500  0.333  0.01

Output
ρ = 9.63 Mg/m³
DOS(E_F) = 28.50 states/eV/cell
uncorrected energy = -5.43 eV/atom
space group = P4/mmm

---

Entry 2:
An optimized crystal structure of Pm2AlN, computed with PBE.

abc: 3.635 3.635 8.079
angles: 77.00 77.00 60.00
Fractional positions:
Pm  0.227  0.227  0.319
Al  0.000  0.000  0.000
N  0.500  0.500  0.500
Pm  0.773  0.773  0.681

Output
ρ = 6.16 Mg/m³
DOS(E_F) = 2.79 states/eV/cell
uncorrected energy = -6.15 eV/atom
formation energy from raw total energies = -0.76 eV/atom
space group = R-3m

---

Entry 3:
An optimized crystal structure of Ac2MgAgGe, computed with PBE.

abc: 4.560 4.560 15.223
angles: 90.00 90.00 90.00
Fractional positions:
Ge  0.000  0.500  0.892
Ac  0.500  0.000  0.895
Mg  0.500  0.500  0.500
Ac  0.000  0.500  0.692
Ge  0.500  0.000  0.108
Ac  0.000  0.500  0.105
Ag  0.000  0.500  0.382
Mg  0.000  0.000  0.500
Ac  0.500  0.000  0.308
Ag  0.500  0.000  0.618

Output
ρ = 6.91 Mg/m³
DOS(E_F) = 8.42 states/eV/cell
uncorrected energy = -3.85 eV/atom
space group = P4/nmm

---

Entry 4:
An optimized crystal structure of CaNd3, computed with PBE.

abc: 3.726 3.726 12.211
angles: 90.00 90.00 120.00
Fractional positions:
Nd  0.333  0.667  0.258
Nd  0.000  0.000  0.500
Ca  0.000  0.000  0.000
Nd  0.333  0.667  0.742

Output
ρ = 5.35 Mg/m³
DOS(E_F) = 6.44 states/eV/cell
uncorrected energy = -4.03 eV/atom
offset from the most stable computed form = 0.000 eV per atom
space group = P-6m2

---

Entry 5:
An optimized crystal structure of DyNp2UP4, computed with PBE.

abc: 3.939 6.858 6.863
angles: 109.26 90.00 90.00
Site moments in Bohr magnetons follow the coordinates.
Fractional positions:
Np  0.500  0.000  0.500  3.54
Dy  0.500  0.500  0.000  -0.01
P  0.000  0.755  0.252  -0.05
U  0.000  0.000  0.000  -1.49
P  0.500  0.753  0.752  -0.03
P  0.500  0.247  0.248  -0.03
P  0.000  0.245  0.748  -0.05
Np  0.000  0.500  0.500  3.58

Output
ρ = 9.47 Mg/m³
DOS(E_F) = 23.26 states/eV/cell
uncorrected energy = -8.98 eV/atom
space group = P2/m

---

Entry 6:
An optimized crystal structure of B5C7, computed with PBE.

abc: 7.128 7.177 7.177
angles: 158.74 142.55 43.50
Fractional positions:
C  0.618  0.618  0.000
B  0.648  0.984  0.664
C  0.127  0.790  0.337
B  0.499  0.169  0.330
C  0.127  0.463  0.664
C  0.114  0.116  0.998
B  0.006  0.668  0.338
C  0.629  0.290  0.339
C  0.012  0.003  0.009
B  0.005  0.340  0.665
B  0.478  0.803  0.674
C  0.487  0.505  0.982

Output
ρ = 2.84 Mg/m³
DOS(E_F) = 2.90 states/eV/cell
uncorrected energy = -7.82 eV/atom
offset from the most stable computed form = 0.085 eV per atom
space group = Cm

---

Entry 7:
An optimized crystal structure of NaTePb2Se4, computed with PBE.

abc: 8.424 8.424 8.543
angles: 117.97 117.97 89.92
Fractional positions:
Pb  0.500  0.000  0.000
Te  0.000  0.000  0.000
Se  0.738  0.260  0.488
Se  0.780  0.771  0.024
Se  0.262  0.740  0.512
Se  0.271  0.280  0.524
Se  0.240  0.762  0.012
Se  0.760  0.238  0.988
Pb  0.000  0.000  0.500
Pb  0.500  0.000  0.500
Te  0.500  0.500  0.500
Pb  0.500  0.500  0.000
Na  0.000  0.500  0.500
Se  0.729  0.720  0.476
Na  0.000  0.500  0.000
Se  0.220  0.229  0.976

Output
ρ = 6.44 Mg/m³
DOS(E_F) = 3.97 states/eV/cell
uncorrected energy = -3.68 eV/atom
formation energy from raw total energies = -0.46 eV/atom
space group = C2/c

---

Entry 8:
An optimized crystal structure of TlZnSi2, computed with PBE.

abc: 4.417 4.417 6.133
angles: 75.64 75.64 49.93
Fractional positions:
Zn  0.250  0.250  0.250
Si  0.509  0.509  0.385
Si  0.991  0.991  0.115
Tl  0.750  0.750  0.750

Output
ρ = 6.15 Mg/m³
DOS(E_F) = 1.33 states/eV/cell
uncorrected energy = -3.29 eV/atom
offset from the most stable computed form = 0.074 eV per atom
formation energy from raw total energies = 0.34 eV/atom
space group = C2/m

---

The lowest uncorrected energy belongs to which entry? DyNp2UP4

---

Number 2 is which compound? Pm2AlN

---

The lowest uncorrected energy belongs to which entry? DyNp2UP4

---

Number 1 is which compound? Pu2PaIn9